(1)
Computed, not measured: Zr5CdIn4 after structural relaxation at the PBE level of DFT.

Unit cell a=3.1555 b=3.1555 c=22.1579 alpha=90.00 beta=90.00 gamma=90.00
Positions (direct):
Zr  0.5000  0.5000  0.9006
In  0.0000  0.0000  0.6007
Zr  0.5000  0.5000  0.7016
Cd  0.0000  0.0000  0.0000
Zr  0.5000  0.5000  0.0994
In  0.0000  0.0000  0.8014
Zr  0.5000  0.5000  0.5000
In  0.0000  0.0000  0.3993
In  0.0000  0.0000  0.1986
Zr  0.5000  0.5000  0.2984

Computed properties:
- energy relative to the elements (eV/atom) = -0.2762
- space-group type = No. 123
- total DFT energy (no corrections) (eV/f.u.) = -57.37

---

(2)
Computed, not measured: AcSmSc2 after structural relaxation at the PBE level of DFT.

Unit cell a=5.6166 b=5.6166 c=5.6166 alpha=60.00 beta=60.00 gamma=60.00
Positions (direct):
Sm  0.5000  0.5000  0.5000
Sc  0.2500  0.2500  0.2500
Sc  0.7500  0.7500  0.7500
Ac  0.0000  0.0000  0.0000

Computed properties:
- energy above the lowest structure with this stoichiometry (meV/atom) = 14
- energy relative to the elements (eV/atom) = 0.1007
- space-group type = No. 225
- total DFT energy (no corrections) (eV/f.u.) = -21.09

---

(3)
Computed, not measured: CaBe2Ir after structural relaxation at the PBE level of DFT.

Unit cell a=4.3034 b=4.3034 c=4.3034 alpha=60.00 beta=60.00 gamma=60.00
Positions (direct):
Be  0.7500  0.7500  0.7500
Ir  0.5000  0.5000  0.5000
Be  0.2500  0.2500  0.2500
Ca  0.0000  0.0000  0.0000

Computed properties:
- energy above the lowest structure with this stoichiometry (meV/atom) = 398
- energy relative to the elements (eV/atom) = 0.0258
- space-group type = No. 225
- total DFT energy (no corrections) (eV/f.u.) = -18.21

---

(4)
Computed, not measured: CrFePS2 after structural relaxation at the PBE level of DFT.

Unit cell a=4.4843 b=4.4843 c=4.1322 alpha=90.00 beta=90.00 gamma=90.00
Each line ends with the local moment (μB).
Positions (direct):
S  0.5000  0.0000  0.0000  0.06
P  0.0000  0.0000  0.5000  -0.07
S  0.0000  0.5000  0.0000  0.06
Cr  0.5000  0.5000  0.5000  0.15
Fe  0.0000  0.0000  0.0000  0.89

Computed properties:
- energy above the lowest structure with this stoichiometry (meV/atom) = 248
- space-group type = No. 123
- total DFT energy (no corrections) (eV/f.u.) = -27.38

---

(5)
Computed, not measured: CrAgW after structural relaxation at the PBE level of DFT.

Unit cell a=6.6008 b=6.6008 c=6.6008 alpha=155.91 beta=155.91 gamma=34.33
Each line ends with the local moment (μB).
Positions (direct):
Cr  0.3268  0.3268  0.0000  2.66
W  0.6757  0.6757  0.0000  -0.07
Ag  0.9975  0.9975  0.0000  0.03

Computed properties:
- energy above the lowest structure with this stoichiometry (meV/atom) = 112
- energy relative to the elements (eV/atom) = 0.6059
- space-group type = No. 107
- total DFT energy (no corrections) (eV/f.u.) = -23.61

---

(6)
Computed, not measured: TlAgBPb2 after structural relaxation at the PBE level of DFT.

Unit cell a=5.5077 b=5.4131 c=5.5077 alpha=90.00 beta=90.00 gamma=90.00
Positions (direct):
Tl  0.0000  0.5000  0.0000
Pb  0.5000  0.0000  0.0000
Pb  0.0000  0.0000  0.5000
B  0.5000  0.5000  0.5000
Ag  0.0000  0.0000  0.0000

Computed properties:
- energy relative to the elements (eV/atom) = 1.2705
- space-group type = No. 123
- total DFT energy (no corrections) (eV/f.u.) = -12.96

---

(7)
Computed, not measured: LiBe6Pd5 after structural relaxation at the PBE level of DFT.

Unit cell a=3.9930 b=5.6055 c=6.3561 alpha=90.00 beta=108.55 gamma=90.00
Positions (direct):
Be  0.5000  0.2570  0.0000
Pd  0.3408  0.0000  0.6805
Pd  0.6592  0.0000  0.3195
Be  0.5000  0.7430  0.0000
Be  0.1720  0.2508  0.3441
Pd  0.0000  0.5000  0.0000
Be  0.1720  0.7492  0.3441
Pd  0.3353  0.5000  0.6709
Pd  0.6647  0.5000  0.3291
Li  0.0000  0.0000  0.0000
Be  0.8280  0.2508  0.6559
Be  0.8280  0.7492  0.6559

Computed properties:
- energy relative to the elements (eV/atom) = -0.4880
- space-group type = No. 10
- total DFT energy (no corrections) (eV/f.u.) = -56.09

---

(8)
Computed, not measured: Na2TaGaS5 after structural relaxation at the PBE level of DFT.

Unit cell a=3.6131 b=8.6876 c=13.2976 alpha=90.00 beta=90.00 gamma=102.00
Positions (direct):
S  0.6357  0.2713  0.5061
S  0.9289  0.8577  0.5339
Na  0.0794  0.1588  0.6590
Ta  0.7661  0.5323  0.5356
Ta  0.2339  0.4677  0.0356
Ga  0.4287  0.8574  0.4246
S  0.7108  0.4217  0.9028
Na  0.1184  0.2368  0.3190
S  0.4955  0.9909  0.2837
S  0.2776  0.5551  0.6592
S  0.5045  0.0091  0.7837
S  0.7224  0.4449  0.1592
Na  0.9206  0.8412  0.1590
S  0.2892  0.5783  0.4028
S  0.0711  0.1423  0.0339
Na  0.8816  0.7632  0.8190
Ga  0.5713  0.1426  0.9246
S  0.3643  0.7287  0.0061

Computed properties:
- space-group type = No. 36
- total DFT energy (no corrections) (eV/f.u.) = -46.79

---

(9)
Computed, not measured: ScCuSeI2 after structural relaxation at the PBE level of DFT.

Unit cell a=5.3421 b=4.8596 c=5.3421 alpha=90.00 beta=90.00 gamma=90.00
Each line ends with the local moment (μB).
Positions (direct):
I  0.0000  0.0000  0.5000  -0.03
Se  0.0000  0.5000  0.0000  -0.09
I  0.5000  0.0000  0.0000  -0.03
Sc  0.5000  0.5000  0.5000  0.56
Cu  0.0000  0.0000  0.0000  -0.02

Computed properties:
- space-group type = No. 123
- total DFT energy (no corrections) (eV/f.u.) = -16.90

---

(10)
Computed, not measured: La4Dy15Sc after structural relaxation at the PBE level of DFT.

Unit cell a=5.0643 b=5.0643 c=25.1525 alpha=90.00 beta=90.00 gamma=90.00
Positions (direct):
Dy  0.5000  0.5000  0.6011
Dy  0.0000  0.5000  0.0943
Dy  0.0000  0.5000  0.2974
Dy  0.0000  0.5000  0.9057
Dy  0.5000  0.5000  0.1958
Dy  0.0000  0.5000  0.7026
Dy  0.5000  0.0000  0.9057
Dy  0.5000  0.5000  0.3989
Dy  0.5000  0.5000  0.0000
Sc  0.0000  0.0000  0.0000
Dy  0.5000  0.5000  0.8042
Dy  0.5000  0.0000  0.5000
Dy  0.5000  0.0000  0.0943
La  0.0000  0.0000  0.6015
Dy  0.0000  0.5000  0.5000
La  0.0000  0.0000  0.8023
La  0.0000  0.0000  0.3985
Dy  0.5000  0.0000  0.7026
Dy  0.5000  0.0000  0.2974
La  0.0000  0.0000  0.1977

Computed properties:
- energy relative to the elements (eV/atom) = 0.0345
- space-group type = No. 123
- total DFT energy (no corrections) (eV/f.u.) = -94.38

---

(11)
Computed, not measured: VSiMo after structural relaxation at the PBE level of DFT.

Unit cell a=4.7429 b=5.0391 c=6.8790 alpha=90.00 beta=90.00 gamma=90.00
Positions (direct):
Mo  0.5000  0.2500  0.8725
V  0.2500  0.7500  0.7500
Si  0.5000  0.0000  0.5000
V  0.2500  0.2500  0.2500
Mo  0.5000  0.7500  0.1275
V  0.7500  0.2500  0.2500
Si  0.0000  0.5000  0.0000
Si  0.5000  0.5000  0.5000
Mo  0.0000  0.7500  0.3725
V  0.7500  0.7500  0.7500
Mo  0.0000  0.2500  0.6275
Si  0.0000  0.0000  0.0000

Computed properties:
- space-group type = No. 74
- total DFT energy (no corrections) (eV/f.u.) = -26.37

---

(12)
Computed, not measured: LiRuRh after structural relaxation at the PBE level of DFT.

Unit cell a=6.8955 b=5.0800 c=5.0800 alpha=126.79 beta=137.85 gamma=42.15
Positions (direct):
Rh  0.1676  0.1539  0.8199
Rh  0.8324  0.8199  0.1539
Ru  0.3388  0.4845  0.8194
Li  0.0000  0.1525  0.1525
Li  0.5000  0.4842  0.4842
Ru  0.6612  0.8194  0.4845

Computed properties:
- energy above the lowest structure with this stoichiometry (meV/atom) = 10
- energy relative to the elements (eV/atom) = 0.0375
- space-group type = No. 5
- total DFT energy (no corrections) (eV/f.u.) = -18.43

---

> What is the total DFT energy (no corrections) in the eleventh record?

-26.37 eV/f.u.

---

> Look up the total DFT energy (no corrections) of the eleventh one.

-26.37 eV/f.u.